(1)
A plane-wave DFT calculation with PBE-GGA was carried out for an optimized crystal structure of Li2Mg.

a = 5.9008 Å, b = 4.6320 Å, c = 8.8949 Å
α = 90.00°, β = 90.00°, γ = 90.00°
Space group Pnma (No. 62)
One atom of each set of equivalent atoms:
1 Li 0.0929 0.2500 0.2409 (multiplicity 4)
2 Li 0.1394 0.2500 0.9138 (multiplicity 4)
3 Mg 0.1405 0.2500 0.5809 (multiplicity 4)

Calculated values
energy of formation: -0.09 eV per formula unit
D(E_F): 6.271 states/eV per cell
spin magnetization: 0.0 μB per formula unit

(2)
A plane-wave DFT calculation with PBE-GGA was carried out for an optimized crystal structure of Er2Pd7Au3.

a = 5.9647 Å, b = 7.8923 Å, c = 17.7443 Å
α = 90.00°, β = 90.00°, γ = 90.00°
Space group Fmmm (No. 69)
One atom of each set of equivalent atoms:
1 Er 0.0000 0.0000 0.1632 (multiplicity 8)
2 Pd 0.0000 0.0000 0.0000 (multiplicity 4)
3 Pd 0.2500 0.2500 0.0811 (multiplicity 16)
4 Pd 0.2500 0.2500 0.2500 (multiplicity 8)
5 Au 0.0000 0.0000 0.3359 (multiplicity 8)
6 Au 0.0000 0.0000 0.5000 (multiplicity 4)

Calculated values
energy of formation: -7.13 eV per formula unit
D(E_F): 20.276 states/eV per cell
spin magnetization: 0.0 μB per formula unit

(3)
A plane-wave DFT calculation with PBE-GGA was carried out for an optimized crystal structure of CoSn5Pd2.

a = 4.8099 Å, b = 12.9479 Å, c = 13.4697 Å
α = 90.00°, β = 90.00°, γ = 90.00°
Space group Cmcm (No. 63)
One atom of each set of equivalent atoms:
1 Co 0.0000 0.2190 0.2500 (multiplicity 4)
2 Sn 0.0000 0.0692 0.1361 (multiplicity 8)
3 Sn 0.0000 0.2187 0.7500 (multiplicity 4)
4 Sn 0.0000 0.2973 0.0695 (multiplicity 8)
5 Pd 0.0000 0.1146 0.5584 (multiplicity 8)

Calculated values
energy of formation: -0.75 eV per formula unit
D(E_F): 19.397 states/eV per cell
spin magnetization: 0.0 μB per formula unit

(4)
A plane-wave DFT calculation with PBE-GGA was carried out for an optimized crystal structure of Mn2HgCBr.

a = 3.7938 Å, b = 3.7938 Å, c = 6.9046 Å
α = 90.00°, β = 90.00°, γ = 90.00°
Space group P4/mmm (No. 123)
One atom of each set of equivalent atoms:
1 Mn 0.0000 0.5000 0.0000 (multiplicity 2)
2 Hg 0.0000 0.0000 0.5000 (multiplicity 1)
3 C 0.5000 0.5000 0.0000 (multiplicity 1)
4 Br 0.5000 0.5000 0.5000 (multiplicity 1)

Calculated values
uncorrected energy: -4.80 eV per atom
D(E_F): 7.802 states/eV per cell
spin magnetization: 0.0 μB per formula unit

(5)
A plane-wave DFT calculation with PBE-GGA was carried out for an optimized crystal structure of Tl2Cu2SbO6.

a = 5.9078 Å, b = 5.9078 Å, c = 17.1510 Å
α = 90.00°, β = 90.00°, γ = 120.00°
Space group R-3m (No. 166, hexagonal axes)
One atom of each set of equivalent atoms:
1 Tl 0.0000 0.0000 0.2080 (multiplicity 6)
2 Cu 0.0000 0.0000 0.3950 (multiplicity 6)
3 Sb 0.0000 0.0000 0.0000 (multiplicity 3)
4 O 0.0242 0.5121 0.7403 (multiplicity 18)

Calculated values
uncorrected energy: -5.00 eV per atom
D(E_F): 7.916 states/eV per cell
spin magnetization: 3.0 μB per formula unit

(6)
A plane-wave DFT calculation with PBE-GGA was carried out for an optimized crystal structure of TmNiSn3.

a = 4.2348 Å, b = 17.0652 Å, c = 6.7241 Å
α = 90.00°, β = 90.00°, γ = 90.00°
Space group Ama2 (No. 40)
One atom of each set of equivalent atoms:
1 Tm 0.2500 0.0975 0.0000 (multiplicity 4)
2 Ni 0.2500 0.4595 0.7373 (multiplicity 4)
3 Sn 0.2500 0.0684 0.5141 (multiplicity 4)
4 Sn 0.2500 0.3077 0.2199 (multiplicity 4)
5 Sn 0.2500 0.3093 0.7886 (multiplicity 4)

Calculated values
energy of formation: -1.38 eV per formula unit
D(E_F): 9.049 states/eV per cell
spin magnetization: 0.0 μB per formula unit

(7)
A plane-wave DFT calculation with PBE-GGA was carried out for an optimized crystal structure of RbLiHo2Br8.

a = 7.0472 Å, b = 8.6640 Å, c = 7.2689 Å
α = 90.00°, β = 98.64°, γ = 90.00°
Space group P2/m (No. 10)
One atom of each set of equivalent atoms:
1 Rb 0.0000 0.0000 0.0000 (multiplicity 1)
2 Li 0.0000 0.5000 0.0000 (multiplicity 1)
3 Ho 0.5000 0.2591 0.5000 (multiplicity 2)
4 Br 0.2591 0.2878 0.1674 (multiplicity 4)
5 Br 0.2809 0.5000 0.6317 (multiplicity 2)
6 Br 0.2933 0.0000 0.6215 (multiplicity 2)

Calculated values
uncorrected energy: -3.86 eV per atom
D(E_F): 0.000 states/eV per cell
spin magnetization: 0.0 μB per formula unit

(8)
A plane-wave DFT calculation with PBE-GGA was carried out for an optimized crystal structure of CoGe.

a = 5.8513 Å, b = 8.8072 Å, c = 11.9657 Å
α = 90.00°, β = 90.00°, γ = 90.00°
Space group Fddd (No. 70, origin choice 2)
One atom of each set of equivalent atoms:
1 Co 0.1250 0.1250 0.0144 (multiplicity 16)
2 Ge 0.1250 0.3421 0.1250 (multiplicity 16)

Calculated values
energy of formation: 0.46 eV per formula unit
D(E_F): 15.934 states/eV per cell
spin magnetization: 0.0 μB per formula unit